[1]
This record from Alexandria describes crystalline NpSbTe4 at its relaxed geometry. The functional is PBE.

Results
uncorrected energy: -60.98 eV for the cell shown
space-group type: No. 63
formation energy without anion corrections: -143 meV/atom

Structure (POSCAR):
```
NpSbTe4
1.0
6.6545 -0.3858 0.0000
-0.9141 6.6027 0.0000
0.0000 0.0000 10.4336
Sb Te Np
2 8 2
direct
0.9304 0.9304 0.7500 Sb
0.0696 0.0696 0.2500 Sb
0.9113 0.3444 0.7500 Te
0.6556 0.0887 0.2500 Te
0.3323 0.3323 0.4504 Te
0.6677 0.6677 0.5496 Te
0.3444 0.9113 0.7500 Te
0.0887 0.6556 0.2500 Te
0.6677 0.6677 0.9504 Te
0.3323 0.3323 0.0496 Te
0.6113 0.6113 0.2500 Np
0.3887 0.3887 0.7500 Np
```

---

[2]
This record from Alexandria describes crystalline BaBiPb2Se at its relaxed geometry. The functional is PBE.

Results
uncorrected energy: -16.24 eV for the cell shown
space-group type: No. 123
formation energy without anion corrections: 92 meV/atom

Structure (POSCAR):
```
BaBiPb2Se
1.0
5.8722 0.0000 0.0000
0.0000 6.8803 0.0000
0.0000 0.0000 5.8722
Bi Pb Ba Se
1 2 1 1
direct
0.0000 0.0000 0.0000 Bi
0.5000 0.0000 0.0000 Pb
0.0000 0.0000 0.5000 Pb
0.0000 0.5000 0.0000 Ba
0.5000 0.5000 0.5000 Se
```

---

[3]
This record from Alexandria describes crystalline Pr2Co3As4Ru at its relaxed geometry. The functional is PBE.

Results
uncorrected energy: -66.13 eV for the cell shown
space-group type: No. 115

Structure (POSCAR):
```
Pr2Co3As4Ru
1.0
-3.8089 0.6999 -1.5997
-1.7236 -2.1218 3.1755
-0.6436 8.1593 5.1025
As Ru Co Pr
4 1 3 2
direct
0.5000 0.0000 0.6383 As
0.5000 0.5000 0.0000 As
0.0000 0.0000 0.0000 As
0.0000 0.5000 0.3617 As
0.5000 0.5000 0.5000 Ru
0.5000 0.0000 0.8864 Co
0.0000 0.5000 0.1136 Co
0.0000 0.0000 0.5000 Co
0.0000 0.5000 0.7581 Pr
0.5000 0.0000 0.2419 Pr
```

---

[4]
This record from Alexandria describes crystalline Pd6PtAu5 at its relaxed geometry. The functional is PBE.

Results
uncorrected energy: -54.18 eV for the cell shown
space-group type: No. 12

Structure (POSCAR):
```
Pd6PtAu5
1.0
-1.8782 3.3038 1.3468
-4.7326 -4.5700 4.6003
7.3322 1.0487 1.5929
Au Pt Pd
5 1 6
direct
0.3339 0.8340 0.6677 Au
0.0000 0.5000 0.0000 Au
0.6662 0.6661 0.3322 Au
0.6661 0.1660 0.3323 Au
0.3338 0.3339 0.6678 Au
0.0000 0.0000 0.0000 Pt
0.1658 0.4135 0.3311 Pd
0.4997 0.2454 0.9998 Pd
0.5003 0.7546 0.0002 Pd
0.1658 0.9175 0.3312 Pd
0.8342 0.0825 0.6688 Pd
0.8342 0.5865 0.6689 Pd
```

---

What is the formula in the first record?
NpSbTe4

---

Copy entry 2 word for word.
This record from Alexandria describes crystalline BaBiPb2Se at its relaxed geometry. The functional is PBE.

Results
uncorrected energy: -16.24 eV for the cell shown
space-group type: No. 123
formation energy without anion corrections: 92 meV/atom

Structure (POSCAR):
```
BaBiPb2Se
1.0
5.8722 0.0000 0.0000
0.0000 6.8803 0.0000
0.0000 0.0000 5.8722
Bi Pb Ba Se
1 2 1 1
direct
0.0000 0.0000 0.0000 Bi
0.5000 0.0000 0.0000 Pb
0.0000 0.0000 0.5000 Pb
0.0000 0.5000 0.0000 Ba
0.5000 0.5000 0.5000 Se
```

---

Which formula does entry 3 have?
Pr2Co3As4Ru

---

What is the uncorrected energy in the fourth record?
-54.18 eV for the cell shown